[1]
A plane-wave DFT calculation with GGA-PBE was carried out for a relaxed structure of KZr2Br.

Cell: 3.1931 5.7880 6.5597 Å, 90.00 90.00 90.00°
Fractional positions:
K 0.0000 0.0000 0.0000
Zr 0.5000 0.2426 0.5000
Zr 0.5000 0.7574 0.5000
Br 0.0000 0.5000 0.0000

=====

[2]
A plane-wave DFT calculation with GGA-PBE was carried out for a relaxed structure of KZr2Br.

Cell: 5.2547 5.2547 5.2547 Å, 60.00 60.00 60.00°
Fractional positions:
K 0.0000 0.0000 0.0000
Zr 0.2500 0.2500 0.2500
Zr 0.7500 0.7500 0.7500
Br 0.5000 0.5000 0.5000

=====

[3]
A plane-wave DFT calculation with GGA-PBE was carried out for a relaxed structure of K2ZrBr5.

Cell: 7.4509 7.4491 8.3088 Å, 56.12 56.10 67.79°
Fractional positions:
K 0.0000 0.0000 0.5000
K 0.5000 0.5000 0.0000
Zr 0.2022 0.2022 0.7978
Br 0.0507 0.4948 0.5052
Br 0.0528 0.4962 0.9472
Br 0.4948 0.0507 0.9493
Br 0.4962 0.0528 0.5038
Br 0.9303 0.9303 0.0697

=====

[4]
A plane-wave DFT calculation with GGA-PBE was carried out for a relaxed structure of KZrBr2.

Cell: 3.8528 3.8528 9.8363 Å, 90.00 90.00 126.05°
Fractional positions:
K 0.0000 0.0000 0.0000
Zr 0.0000 0.0000 0.5000
Br 0.5000 0.5000 0.2775
Br 0.5000 0.5000 0.7225

=====

[5]
A plane-wave DFT calculation with GGA-PBE was carried out for a relaxed structure of KZr2Br.

Cell: 3.3412 3.3412 9.9728 Å, 90.00 90.00 90.14°
Fractional positions:
K 0.0000 0.0000 0.0000
Zr 0.0000 0.0000 0.5411
Zr 0.5000 0.5000 0.3397
Br 0.5000 0.5000 0.7608

=====

[6]
A plane-wave DFT calculation with GGA-PBE was carried out for a relaxed structure of KZrBr2.

Cell: 5.2036 5.2036 7.3443 Å, 104.04 104.04 40.10°
Fractional positions:
K 0.0000 0.0000 0.0000
Zr 0.2493 0.2493 0.5588
Br 0.5532 0.5532 0.6291
Br 0.7693 0.7693 0.2695

=====

[7]
A plane-wave DFT calculation with GGA-PBE was carried out for a relaxed structure of KZrBr2.

Cell: 3.9697 3.9697 7.7175 Å, 90.00 90.00 90.00°
Fractional positions:
K 0.0000 0.0000 0.0000
Zr 0.5000 0.5000 0.4157
Br 0.0000 0.0000 0.4824
Br 0.5000 0.5000 0.7822

=====

[8]
A plane-wave DFT calculation with GGA-PBE was carried out for a relaxed structure of KZr2Br8.

Cell: 9.7838 9.7838 5.4095 Å, 90.00 90.00 120.00°
Fractional positions:
K 0.0000 0.0000 0.0000
Zr 0.3333 0.6667 0.2550
Zr 0.6667 0.3333 0.7450
Br 0.1815 0.3653 0.2630
Br 0.1838 0.8185 0.2630
Br 0.3333 0.6667 0.7582
Br 0.3653 0.1838 0.7370
Br 0.6347 0.8162 0.2630
Br 0.6667 0.3333 0.2418
Br 0.8162 0.1815 0.7370
Br 0.8185 0.6347 0.7370

=====

[9]
A plane-wave DFT calculation with GGA-PBE was carried out for a relaxed structure of K2ZrBr4.

Cell: 9.2435 9.2435 9.2435 Å, 145.65 145.65 49.37°
Fractional positions:
K 0.1395 0.1395 0.0000
K 0.8605 0.8605 0.0000
Zr 0.5000 0.5000 0.0000
Br 0.0000 0.5000 0.5000
Br 0.3328 0.3328 0.0000
Br 0.5000 0.0000 0.5000
Br 0.6672 0.6672 0.0000

=====

[10]
A plane-wave DFT calculation with GGA-PBE was carried out for a relaxed structure of KZr2Br.

Cell: 4.6123 3.4651 7.7450 Å, 90.00 99.81 90.00°
Fractional positions:
K 0.0000 0.0000 0.0000
Zr 0.3758 0.5000 0.5714
Zr 0.8518 0.0000 0.5209
Br 0.5622 0.5000 0.2372

=====

[11]
A plane-wave DFT calculation with GGA-PBE was carried out for a relaxed structure of KZr2Br.

Cell: 7.1238 7.1238 3.1907 Å, 90.00 90.00 132.08°
Fractional positions:
K 0.0000 0.0000 0.0000
Zr 0.0000 0.5000 0.5000
Zr 0.5000 0.0000 0.5000
Br 0.5000 0.5000 0.0000

=====

[12]
A plane-wave DFT calculation with GGA-PBE was carried out for a relaxed structure of KZr2Br.

Cell: 5.6119 5.6119 7.3444 Å, 101.70 101.70 33.82°
Fractional positions:
K 0.0000 0.0000 0.0000
Zr 0.1754 0.1754 0.5549
Zr 0.4435 0.4435 0.5138
Br 0.7665 0.7665 0.2524

=====

[13]
A plane-wave DFT calculation with GGA-PBE was carried out for a relaxed structure of KZrBr2.

Cell: 3.5309 3.5309 8.2017 Å, 90.00 90.00 90.00°
Fractional positions:
K 0.0000 0.0000 0.0000
Zr 0.0000 0.0000 0.5000
Br 0.5000 0.5000 0.2988
Br 0.5000 0.5000 0.7012

=====

[14]
A plane-wave DFT calculation with GGA-PBE was carried out for a relaxed structure of KZr2Br.

Cell: 7.5044 7.5044 3.4921 Å, 103.36 103.36 133.08°
Fractional positions:
K 0.0000 0.0000 0.0000
Zr 0.0000 0.5000 0.0000
Zr 0.5000 0.0000 0.0000
Br 0.5000 0.5000 0.0000

=====

[15]
A plane-wave DFT calculation with GGA-PBE was carried out for a relaxed structure of KZrBr2.

Cell: 9.6606 9.6606 9.6606 Å, 21.68 21.68 21.68°
Fractional positions:
K 0.0000 0.0000 0.0000
Zr 0.5000 0.5000 0.5000
Br 0.2357 0.2357 0.2357
Br 0.7643 0.7643 0.7643

=====

[16]
A plane-wave DFT calculation with GGA-PBE was carried out for a relaxed structure of KZrBr6.

Cell: 6.6703 6.6703 6.5719 Å, 97.76 97.76 96.92°
Fractional positions:
K 0.0000 0.0000 0.0000
Zr 0.5000 0.5000 0.5000
Br 0.2186 0.2186 0.5769
Br 0.2237 0.5954 0.2149
Br 0.4046 0.7763 0.7851
Br 0.5954 0.2237 0.2149
Br 0.7763 0.4046 0.7851
Br 0.7814 0.7814 0.4231

=====

[17]
A plane-wave DFT calculation with GGA-PBE was carried out for a relaxed structure of KZrBr2.

Cell: 10.9898 10.9898 10.9898 Å, 19.03 19.03 19.03°
Fractional positions:
K 0.0000 0.0000 0.0000
Zr 0.5000 0.5000 0.5000
Br 0.1079 0.1079 0.1079
Br 0.8921 0.8921 0.8921

=====

[18]
A plane-wave DFT calculation with GGA-PBE was carried out for a relaxed structure of KZrBr2.

Cell: 3.5892 5.4196 5.8444 Å, 90.00 107.79 90.00°
Fractional positions:
K 0.0000 0.0000 0.0000
Zr 0.7208 0.5000 0.4439
Br 0.4378 0.5000 0.8782
Br 0.7252 0.0000 0.4522

=====

[19]
A plane-wave DFT calculation with GGA-PBE was carried out for a relaxed structure of KZrBr2.

Cell: 5.3491 5.3491 5.3491 Å, 60.00 60.00 60.00°
Fractional positions:
K 0.0000 0.0000 0.0000
Zr 0.5000 0.5000 0.5000
Br 0.2500 0.2500 0.2500
Br 0.7500 0.7500 0.7500

=====

[20]
A plane-wave DFT calculation with GGA-PBE was carried out for a relaxed structure of KZrBr2.

Cell: 5.5001 5.5001 5.5001 Å, 60.00 60.00 60.00°
Fractional positions:
K 0.0000 0.0000 0.0000
Zr 0.2500 0.2500 0.2500
Br 0.5000 0.5000 0.5000
Br 0.7500 0.7500 0.7500

=====

[21]
A plane-wave DFT calculation with GGA-PBE was carried out for a relaxed structure of K2Zr2Br.

Cell: 10.6351 10.6351 3.5117 Å, 90.00 90.00 90.00°
Fractional positions:
K 0.2076 0.2924 0.0000
K 0.2924 0.7924 0.0000
K 0.7076 0.2076 0.0000
K 0.7924 0.7076 0.0000
Zr 0.0821 0.5821 0.5000
Zr 0.4179 0.0821 0.5000
Zr 0.5821 0.9179 0.5000
Zr 0.9179 0.4179 0.5000
Br 0.0000 0.0000 0.5000
Br 0.5000 0.5000 0.5000

=====

[22]
A plane-wave DFT calculation with GGA-PBE was carried out for a relaxed structure of KZr2Br.

Cell: 7.1980 7.1980 7.1980 Å, 154.22 138.22 49.75°
Fractional positions:
K 0.0000 0.0000 0.0000
Zr 0.2894 0.7894 0.5000
Zr 0.7106 0.2106 0.5000
Br 0.5000 0.5000 0.0000

=====

[23]
A plane-wave DFT calculation with GGA-PBE was carried out for a relaxed structure of K3ZrBr7.

Cell: 7.6959 7.6959 8.3583 Å, 114.80 114.80 87.36°
Fractional positions:
K 0.0000 0.0000 0.0000
K 0.2723 0.7327 0.5795
K 0.7327 0.2723 0.5795
Zr 0.5500 0.5500 0.1338
Br 0.1939 0.5095 0.8257
Br 0.3744 0.3744 0.2558
Br 0.3764 0.8637 0.2808
Br 0.5095 0.1939 0.8257
Br 0.6992 0.6992 0.9763
Br 0.8392 0.8392 0.5125
Br 0.8637 0.3764 0.2808

=====

[24]
A plane-wave DFT calculation with GGA-PBE was carried out for a relaxed structure of KZr2Br.

Cell: 3.5223 4.8200 7.0021 Å, 90.00 90.00 90.00°
Fractional positions:
K 0.0000 0.0000 0.0000
Zr 0.0000 0.5000 0.5000
Zr 0.5000 0.0000 0.5000
Br 0.5000 0.5000 0.0000

=====

[25]
A plane-wave DFT calculation with GGA-PBE was carried out for a relaxed structure of KZr2Br.

Cell: 11.6680 11.6680 11.6680 Å, 16.18 16.18 16.18°
Fractional positions:
K 0.0000 0.0000 0.0000
Zr 0.2332 0.2332 0.2332
Zr 0.7668 0.7668 0.7668
Br 0.5000 0.5000 0.5000

=====

[26]
A plane-wave DFT calculation with GGA-PBE was carried out for a relaxed structure of KZr2Br.

Cell: 5.5253 5.5253 3.4009 Å, 90.00 90.00 90.00°
Fractional positions:
K 0.0000 0.0000 0.0000
Zr 0.0000 0.5000 0.5000
Zr 0.5000 0.0000 0.5000
Br 0.5000 0.5000 0.0000

=====

[27]
A plane-wave DFT calculation with GGA-PBE was carried out for a relaxed structure of KZr2Br8.

Cell: 8.5140 8.5140 8.2856 Å, 101.04 101.04 61.49°
Fractional positions:
K 0.0000 0.0000 0.0000
Zr 0.2001 0.2001 0.6797
Zr 0.7999 0.7999 0.3203
Br 0.1059 0.6492 0.2155
Br 0.1673 0.1673 0.3654
Br 0.3508 0.8941 0.7845
Br 0.3738 0.3738 0.7974
Br 0.6262 0.6262 0.2026
Br 0.6492 0.1059 0.2155
Br 0.8327 0.8327 0.6346
Br 0.8941 0.3508 0.7845

=====

[28]
A plane-wave DFT calculation with GGA-PBE was carried out for a relaxed structure of KZr2Br.

Cell: 3.2609 3.2609 10.2995 Å, 90.00 90.00 90.00°
Fractional positions:
K 0.0000 0.0000 0.0000
Zr 0.5000 0.5000 0.3276
Zr 0.5000 0.5000 0.6724
Br 0.0000 0.0000 0.5000

=====

These records have calculated volume values of 30.309; 25.649; 39.531; 29.513; 27.833; 30.940; 30.404; 40.769; 35.762; 30.493; 30.045; 31.452; 25.563; 29.242; 26.965; 35.524; 30.844; 27.062; 27.057; 29.412; 39.719; 26.912; 36.618; 29.719; 26.898; 25.957; 46.774; 27.379 Å³/atom, in the order they appear.
These records have raw formation energy values of 0.535; 1.033; -1.426; -0.688; -0.240; -0.701; -0.619; -1.307; -1.324; -0.042; 0.550; 0.116; -0.681; 0.222; -0.804; -1.208; -0.773; -0.703; -0.424; 0.159; 0.707; 0.023; -1.526; 0.241; 0.262; 0.974; -1.309; 0.367 eV per atom, in the order they appear.